1.
The following is a GGA-PBE calculation of an optimized crystal structure of MgAg2Br, from Alexandria.

Cell: 4.025 4.025 10.906 Å, 90.00 90.00 90.00°
Fractional positions:
Mg  0.000  0.000  0.000
Mg  0.500  0.500  0.500
Ag  0.000  0.000  0.500
Ag  0.000  0.500  0.750
Ag  0.500  0.000  0.250
Ag  0.500  0.500  0.000
Br  0.000  0.500  0.250
Br  0.500  0.000  0.750

- raw total energy (eV/atom) = -2.23
- E above lowest polymorph (eV/atom) = 0.289



2.
The following is a GGA-PBE calculation of an optimized crystal structure of MgAg2Br, from Alexandria.

Cell: 3.423 3.423 25.719 Å, 90.00 90.00 120.00°
Fractional positions:
Mg  0.000  0.000  0.000
Mg  0.333  0.667  0.667
Mg  0.667  0.333  0.333
Ag  0.000  0.000  0.251
Ag  0.000  0.000  0.749
Ag  0.333  0.667  0.416
Ag  0.333  0.667  0.918
Ag  0.667  0.333  0.082
Ag  0.667  0.333  0.584
Br  0.000  0.000  0.500
Br  0.333  0.667  0.167
Br  0.667  0.333  0.833

- raw total energy (eV/atom) = -2.31
- E above lowest polymorph (eV/atom) = 0.208



3.
The following is a GGA-PBE calculation of an optimized crystal structure of MgAgBr3, from Alexandria.

Cell: 7.014 7.014 7.114 Å, 90.00 90.00 120.00°
Fractional positions:
Mg  0.333  0.667  0.000
Mg  0.667  0.333  0.000
Ag  0.000  0.000  0.209
Ag  0.000  0.000  0.791
Br  0.000  0.375  0.778
Br  0.000  0.625  0.222
Br  0.375  0.000  0.778
Br  0.375  0.375  0.222
Br  0.625  0.000  0.222
Br  0.625  0.625  0.778

- raw total energy (eV/atom) = -2.89
- E above lowest polymorph (eV/atom) = 0.000



4.
The following is a GGA-PBE calculation of an optimized crystal structure of MgAgBr2, from Alexandria.

Cell: 3.687 6.320 11.226 Å, 90.00 90.00 90.00°
Fractional positions:
Mg  0.000  0.000  0.000
Mg  0.500  0.500  0.000
Ag  0.000  0.000  0.500
Ag  0.500  0.500  0.500
Br  0.000  0.500  0.157
Br  0.000  0.500  0.843
Br  0.500  0.000  0.157
Br  0.500  0.000  0.843

- raw total energy (eV/atom) = -2.49
- E above lowest polymorph (eV/atom) = 0.187



5.
The following is a GGA-PBE calculation of an optimized crystal structure of MgAg3Br, from Alexandria.

Cell: 5.112 5.112 5.112 Å, 90.00 90.00 90.00°
Fractional positions:
Mg  0.000  0.000  0.000
Ag  0.000  0.000  0.500
Ag  0.000  0.500  0.000
Ag  0.500  0.000  0.000
Br  0.500  0.500  0.500

- raw total energy (eV/atom) = -1.85
- E above lowest polymorph (eV/atom) = 0.000



6.
The following is a GGA-PBE calculation of an optimized crystal structure of MgAg3Br, from Alexandria.

Cell: 5.252 5.252 5.252 Å, 90.00 90.00 90.00°
Fractional positions:
Mg  0.000  0.000  0.000
Ag  0.000  0.500  0.500
Ag  0.500  0.000  0.500
Ag  0.500  0.500  0.000
Br  0.500  0.500  0.500

- raw total energy (eV/atom) = -1.76
- E above lowest polymorph (eV/atom) = 0.090



7.
The following is a GGA-PBE calculation of an optimized crystal structure of MgAgBr2, from Alexandria.

Cell: 3.349 3.349 11.071 Å, 90.00 90.00 90.00°
Fractional positions:
Mg  0.000  0.000  0.000
Ag  0.000  0.000  0.500
Br  0.500  0.500  0.148
Br  0.500  0.500  0.852

- raw total energy (eV/atom) = -2.39
- E above lowest polymorph (eV/atom) = 0.283



8.
The following is a GGA-PBE calculation of an optimized crystal structure of MgAgBr3, from Alexandria.

Cell: 7.129 7.129 8.823 Å, 90.00 90.00 120.00°
Fractional positions:
Mg  0.000  0.000  0.210
Mg  0.000  0.000  0.790
Ag  0.333  0.667  0.000
Ag  0.667  0.333  0.000
Br  0.000  0.343  0.800
Br  0.000  0.657  0.200
Br  0.343  0.000  0.800
Br  0.343  0.343  0.200
Br  0.657  0.000  0.200
Br  0.657  0.657  0.800

- raw total energy (eV/atom) = -2.74
- E above lowest polymorph (eV/atom) = 0.154



9.
The following is a GGA-PBE calculation of an optimized crystal structure of MgMnAgBr6, from Alexandria.

Cell: 6.674 6.674 11.591 Å, 90.00 90.00 90.00°
Fractional positions:
Mg  0.000  0.000  0.000
Mg  0.500  0.500  0.500
Mn  0.000  0.000  0.664
Mn  0.500  0.500  0.164
Ag  0.000  0.000  0.322
Ag  0.500  0.500  0.822
Br  0.180  0.180  0.822
Br  0.187  0.187  0.508
Br  0.200  0.200  0.155
Br  0.300  0.700  0.655
Br  0.313  0.687  0.008
Br  0.320  0.680  0.322
Br  0.680  0.320  0.322
Br  0.687  0.313  0.008
Br  0.700  0.300  0.655
Br  0.800  0.800  0.155
Br  0.813  0.813  0.508
Br  0.820  0.820  0.822

- raw total energy (eV/atom) = -3.42



10.
The following is a GGA-PBE calculation of an optimized crystal structure of MgMnAg2Br6, from Alexandria.

Cell: 7.428 7.428 7.428 Å, 56.45 56.45 56.45°
Fractional positions:
Mg  0.000  0.000  0.000
Mn  0.501  0.501  0.501
Ag  0.296  0.296  0.296
Ag  0.793  0.793  0.793
Br  0.121  0.378  0.738
Br  0.239  0.878  0.619
Br  0.378  0.738  0.121
Br  0.619  0.239  0.878
Br  0.738  0.121  0.378
Br  0.878  0.619  0.239

- raw total energy (eV/atom) = -3.40



11.
The following is a GGA-PBE calculation of an optimized crystal structure of Na2MgAg2Br6, from Alexandria.

Cell: 7.338 7.338 7.122 Å, 95.37 95.37 119.41°
Fractional positions:
Na  0.167  0.833  0.000
Na  0.833  0.167  0.000
Mg  0.500  0.500  0.000
Ag  0.378  0.622  0.500
Ag  0.622  0.378  0.500
Br  0.157  0.467  0.774
Br  0.238  0.238  0.216
Br  0.467  0.157  0.774
Br  0.533  0.843  0.226
Br  0.762  0.762  0.784
Br  0.843  0.533  0.226

- raw total energy (eV/atom) = -2.88



12.
The following is a GGA-PBE calculation of an optimized crystal structure of NaMgAgBr4, from Alexandria.

Cell: 8.343 8.343 8.343 Å, 120.80 120.55 88.84°
Fractional positions:
Na  0.000  0.000  0.000
Na  0.500  0.000  0.500
Mg  0.500  0.000  0.000
Mg  0.500  0.500  0.500
Ag  0.137  0.387  0.750
Ag  0.863  0.613  0.250
Br  0.273  0.749  0.524
Br  0.276  0.251  0.024
Br  0.278  0.270  0.492
Br  0.278  0.785  0.008
Br  0.722  0.215  0.992
Br  0.722  0.730  0.508
Br  0.724  0.749  0.976
Br  0.727  0.251  0.476

- raw total energy (eV/atom) = -2.94



13.
The following is a GGA-PBE calculation of an optimized crystal structure of Na3MgAg3Br8, from Alexandria.

Cell: 8.360 8.360 8.374 Å, 119.90 119.90 59.46°
Fractional positions:
Na  0.000  0.000  0.000
Na  0.000  0.500  0.000
Na  0.500  0.000  0.000
Mg  0.000  0.000  0.500
Ag  0.000  0.500  0.500
Ag  0.500  0.000  0.500
Ag  0.500  0.500  0.500
Br  0.230  0.230  0.725
Br  0.233  0.765  0.727
Br  0.235  0.767  0.273
Br  0.252  0.252  0.260
Br  0.748  0.748  0.740
Br  0.765  0.233  0.727
Br  0.767  0.235  0.273
Br  0.770  0.770  0.275

- raw total energy (eV/atom) = -2.87



14.
The following is a GGA-PBE calculation of an optimized crystal structure of MgNpAgBr6, from Alexandria.

Cell: 7.092 7.092 12.878 Å, 90.00 90.00 120.00°
Fractional positions:
Mg  0.333  0.667  0.250
Mg  0.667  0.333  0.750
Np  0.333  0.667  0.750
Np  0.667  0.333  0.250
Ag  0.000  0.000  0.000
Ag  0.000  0.000  0.500
Br  0.021  0.356  0.128
Br  0.021  0.665  0.372
Br  0.335  0.356  0.372
Br  0.335  0.979  0.128
Br  0.356  0.021  0.628
Br  0.356  0.335  0.872
Br  0.644  0.665  0.128
Br  0.644  0.979  0.372
Br  0.665  0.021  0.872
Br  0.665  0.644  0.628
Br  0.979  0.335  0.628
Br  0.979  0.644  0.872

- raw total energy (eV/atom) = -4.15



15.
The following is a GGA-PBE calculation of an optimized crystal structure of Mg2AgPBr, from Alexandria.

Cell: 5.311 5.311 4.991 Å, 90.00 90.00 90.00°
Fractional positions:
Mg  0.000  0.500  0.000
Mg  0.500  0.000  0.000
Ag  0.000  0.000  0.000
P  0.500  0.500  0.500
Br  0.000  0.000  0.500

- raw total energy (eV/atom) = -2.04
- E above lowest polymorph (eV/atom) = 0.528



16.
The following is a GGA-PBE calculation of an optimized crystal structure of Mg2AgPBr, from Alexandria.

Cell: 5.371 5.371 4.508 Å, 90.00 90.00 90.00°
Fractional positions:
Mg  0.000  0.500  0.000
Mg  0.500  0.000  0.000
Ag  0.000  0.000  0.000
P  0.000  0.000  0.500
Br  0.500  0.500  0.500

- raw total energy (eV/atom) = -2.57
- E above lowest polymorph (eV/atom) = 0.000



17.
The following is a GGA-PBE calculation of an optimized crystal structure of MgAgPdBr6, from Alexandria.

Cell: 6.698 6.698 12.598 Å, 90.00 90.00 120.00°
Fractional positions:
Mg  0.333  0.667  0.250
Mg  0.667  0.333  0.750
Ag  0.000  0.000  0.000
Ag  0.000  0.000  0.500
Pd  0.333  0.667  0.750
Pd  0.667  0.333  0.250
Br  0.011  0.357  0.631
Br  0.011  0.654  0.869
Br  0.346  0.357  0.869
Br  0.346  0.989  0.631
Br  0.357  0.011  0.131
Br  0.357  0.346  0.369
Br  0.643  0.654  0.631
Br  0.643  0.989  0.869
Br  0.654  0.011  0.369
Br  0.654  0.643  0.131
Br  0.989  0.346  0.131
Br  0.989  0.643  0.369

- raw total energy (eV/atom) = -2.82



18.
The following is a GGA-PBE calculation of an optimized crystal structure of Rb2MgAgBr6, from Alexandria.

Cell: 7.996 7.730 13.057 Å, 90.00 125.74 90.00°
Fractional positions:
Rb  0.241  0.029  0.246
Rb  0.241  0.471  0.746
Rb  0.759  0.529  0.254
Rb  0.759  0.971  0.754
Mg  0.000  0.000  0.500
Mg  0.000  0.500  0.000
Ag  0.500  0.000  0.000
Ag  0.500  0.500  0.500
Br  0.170  0.249  0.967
Br  0.170  0.251  0.467
Br  0.253  0.730  0.969
Br  0.253  0.770  0.469
Br  0.323  0.017  0.754
Br  0.323  0.483  0.254
Br  0.677  0.517  0.746
Br  0.677  0.983  0.246
Br  0.747  0.230  0.531
Br  0.747  0.270  0.031
Br  0.830  0.749  0.533
Br  0.830  0.751  0.033

- raw total energy (eV/atom) = -2.81
- E above lowest polymorph (eV/atom) = 0.000



19.
The following is a GGA-PBE calculation of an optimized crystal structure of RbMgAgBr4, from Alexandria.

Cell: 6.828 7.778 9.402 Å, 90.00 104.24 90.00°
Fractional positions:
Rb  0.239  0.250  0.060
Rb  0.761  0.750  0.940
Mg  0.230  0.750  0.320
Mg  0.770  0.250  0.680
Ag  0.151  0.250  0.516
Ag  0.849  0.750  0.484
Br  0.030  0.008  0.709
Br  0.030  0.492  0.709
Br  0.336  0.750  0.085
Br  0.491  0.750  0.558
Br  0.509  0.250  0.442
Br  0.664  0.250  0.915
Br  0.970  0.508  0.291
Br  0.970  0.992  0.291

- raw total energy (eV/atom) = -2.93



20.
The following is a GGA-PBE calculation of an optimized crystal structure of RbMg2AgBr6, from Alexandria.

Cell: 10.282 10.282 7.887 Å, 104.03 104.03 90.38°
Fractional positions:
Rb  0.116  0.884  0.750
Rb  0.884  0.116  0.250
Mg  0.235  0.384  0.809
Mg  0.384  0.235  0.309
Mg  0.616  0.765  0.691
Mg  0.765  0.616  0.191
Ag  0.232  0.768  0.250
Ag  0.768  0.232  0.750
Br  0.044  0.207  0.697
Br  0.147  0.607  0.926
Br  0.207  0.044  0.197
Br  0.315  0.423  0.538
Br  0.393  0.853  0.574
Br  0.423  0.315  0.038
Br  0.577  0.685  0.962
Br  0.607  0.147  0.426
Br  0.685  0.577  0.462
Br  0.793  0.956  0.803
Br  0.853  0.393  0.074
Br  0.956  0.793  0.303

- raw total energy (eV/atom) = -2.97



21.
The following is a GGA-PBE calculation of an optimized crystal structure of Rb2MgAgBr5, from Alexandria.

Cell: 10.452 10.452 14.051 Å, 90.00 90.00 156.26°
Fractional positions:
Rb  0.117  0.883  0.500
Rb  0.131  0.869  0.117
Rb  0.869  0.131  0.617
Rb  0.883  0.117  0.000
Mg  0.212  0.788  0.828
Mg  0.788  0.212  0.328
Ag  0.440  0.560  0.243
Ag  0.560  0.440  0.743
Br  0.082  0.918  0.854
Br  0.283  0.717  0.456
Br  0.299  0.701  0.195
Br  0.339  0.661  0.812
Br  0.499  0.501  0.581
Br  0.501  0.499  0.081
Br  0.661  0.339  0.312
Br  0.701  0.299  0.695
Br  0.717  0.283  0.956
Br  0.918  0.082  0.354

- raw total energy (eV/atom) = -2.98